Material: SnBiPd14
Method: DFT, GGA-PBE
State: relaxed

abc: 5.800 5.800 7.701
angles: 90.00 90.00 90.00
Space group P4/mmm (No. 123)
Inequivalent atoms, fractional coordinates:
Sn: 0.000 0.000 0.000 (multiplicity 1)
Bi: 0.500 0.500 0.000 (multiplicity 1)
Pd: 0.000 0.000 0.500 (multiplicity 1)
Pd: 0.000 0.500 0.000 (multiplicity 2)
Pd: 0.000 0.500 0.500 (multiplicity 2)
Pd: 0.247 0.247 0.253 (multiplicity 8)
Pd: 0.500 0.500 0.500 (multiplicity 1)

Crystal system ... tetragonal
Spin magnetization ... 0.00 Bohr magnetons per cell
Energy of formation ... -0.1843 eV/atom